Density functional theory data (PBE with a Hubbard U) for crystalline RbVPbF6 at its relaxed geometry.

Calculated values
DFT total energy: -5.314 eV per atom
ρ: 4714 kg/m³

Lattice parameters (Å, degrees): 5.961 5.964 5.231 89.97 90.04 60.08
Last column: magnetic moment on the atom in μB.
Positions (direct):
Rb 0.000 0.000 0.920  0.00
V 0.333 0.333 0.525  1.90
Pb 0.667 0.667 0.417  0.00
F 0.103 0.257 0.319  0.00
F 0.438 0.009 0.726  0.00
F 0.553 0.437 0.726  0.00
F 0.010 0.552 0.727  0.00
F 0.256 0.640 0.320  0.00
F 0.639 0.104 0.319  0.00